Here is an optimized crystal structure of CuSe from Alexandria via LeMat-Bulk. Energies are from PBEsol.

Cell and atoms, written as CIF:
```
data_CuSe
_chemical_formula_sum 'Cu2 Se2'
_symmetry_space_group_name_H-M 'P -3 m 1'
_symmetry_Int_Tables_number 164
_symmetry_space_group_name_Hall '-P 3 2"'
_cell_length_a 3.7173
_cell_length_b 3.7173
_cell_length_c 6.3977
_cell_angle_alpha 90.00
_cell_angle_beta 90.00
_cell_angle_gamma 120.00
loop_
_atom_site_label
_atom_site_type_symbol
_atom_site_fract_x
_atom_site_fract_y
_atom_site_fract_z
Cu1 Cu 0.3333 0.6667 0.1107
Se1 Se 0.3333 0.6667 0.7292
```

The value obtained for the formation energy (no corrections) is -0.1 eV per formula unit. The calculation puts the electronic total energy at -0.15309 hartree per atom.